# 1
## TcRhCl (GGA-PBEsol)

Data for a relaxed structure of TcRhCl.

Lattice parameters (Å, degrees): 3.0618 3.9637 3.9637 120.00 90.00 90.00
Last column: nearest neighbours and their distance in Å.
Atoms (fractional coordinates):
Rh  0.6996  0.3333  0.6667  3 Cl 2.55, 6 Tc 2.70-2.81
Tc  0.2339  0.6667  0.3333  3 Cl 2.35
Cl  0.0665  0.0000  0.0000  3 Tc 2.35, 3 Rh 2.55

Results
DFT total energy	-6.65	eV/atom
relative energy among the computed polymorphs	23.6	kJ/mol of atoms
uncorrected formation energy	1.47	eV per formula unit
total magnetization	0.00	Bohr magnetons per cell

=====

# 2
## ReW3 (GGA-PBEsol)

Data for a relaxed structure of ReW3.

Lattice parameters (Å, degrees): 4.4337 4.4337 4.4337 60.00 60.00 60.00
Last column: nearest neighbours and their distance in Å.
Atoms (fractional coordinates):
Re  0.0000  0.0000  0.0000  8 W 2.72
W  0.2500  0.2500  0.2500  4 W 2.72, 4 Re 2.72
W  0.5000  0.5000  0.5000  8 W 2.72
W  0.7500  0.7500  0.7500  4 W 2.72, 4 Re 2.72

Results
DFT total energy	-13.64	eV/atom
relative energy among the computed polymorphs	1.8	kJ/mol of atoms
total magnetization	0.00	Bohr magnetons per cell
ΔH_f (0 K)	50	meV per atom

=====

# 3
## MnAs2P (GGA-PBEsol)

Data for a relaxed structure of MnAs2P.

Lattice parameters (Å, degrees): 2.8884 2.8884 8.5325 80.26 80.26 60.00
Last column: nearest neighbours and their distance in Å.
Atoms (fractional coordinates):
As  0.9888  0.9888  0.0335  3 P 2.77, 6 As 2.89
As  0.7701  0.7701  0.6898  3 Mn 2.43
Mn  0.5071  0.5071  0.4786  3 P 2.25, 3 As 2.43
P  0.2340  0.2340  0.2980  3 Mn 2.25

Results
DFT total energy	-6.43	eV/atom
total magnetization	0.00	Bohr magnetons per cell
ΔH_f (0 K)	14	meV per atom

=====

# 4
## YZnCu2 (GGA-PBEsol)

Data for a relaxed structure of YZnCu2.

Lattice parameters (Å, degrees): 4.1643 4.1643 5.1113 65.96 65.96 60.00
Last column: nearest neighbours and their distance in Å.
Atoms (fractional coordinates):
Y  0.5052  0.5052  0.4843  7 Cu 2.80-3.11, 4 Zn 2.81-2.95
Zn  0.7128  0.7128  0.8616  6 Cu 2.54-2.64, 1 Y 2.81
Cu  0.9845  0.9845  0.0466  3 Cu 2.42, 3 Zn 2.54
Cu  0.2987  0.2987  0.1041  3 Cu 2.42, 3 Zn 2.64

Results
DFT total energy	-4.46	eV/atom
total magnetization	0.00	Bohr magnetons per cell
ΔH_f (0 K)	-189	meV per atom

=====

Look up the DFT total energy of the second one. -13.64 eV/atom

=====

Number 2 is which compound? ReW3